No. 1
Ca3W2O9 (meta-GGA SCAN, single point on PBEsol structure); VASP energy = -18.832 eV/atom; energy above the most stable polymorph in this dataset = 0 meV per atom; E_form (uncorrected) = -2800 meV per atom; space group = Pnma, No. 62; total moment = 0.000 μB per formula unit; N(E_F) = 0.000 states/eV per cell
1.0
7.704 0.000 0.000
0.000 8.556 0.000
0.000 0.000 15.486
Ca W O
12 8 36
Direct
0.000 0.500 0.500
0.250 0.287 0.641
0.750 0.313 0.925
0.250 0.187 0.425
0.750 0.213 0.141
0.500 0.000 0.000
0.000 0.000 0.000
0.250 0.787 0.859
0.750 0.813 0.575
0.250 0.687 0.075
0.750 0.713 0.359
0.500 0.500 0.500
0.250 0.354 0.897
0.250 0.241 0.168
0.750 0.259 0.668
0.750 0.146 0.397
0.250 0.854 0.603
0.250 0.741 0.332
0.750 0.759 0.832
0.750 0.646 0.103
0.250 0.430 0.121
0.750 0.445 0.067
0.250 0.387 0.515
0.555 0.358 0.633
0.945 0.358 0.633
0.250 0.360 0.783
0.250 0.261 0.282
0.441 0.253 0.932
0.559 0.247 0.432
0.059 0.253 0.932
0.941 0.247 0.432
0.750 0.239 0.782
0.750 0.140 0.283
0.445 0.142 0.133
0.055 0.142 0.133
0.750 0.113 0.015
0.250 0.055 0.567
0.750 0.070 0.621
0.250 0.930 0.379
0.750 0.945 0.433
0.250 0.887 0.985
0.555 0.858 0.867
0.945 0.858 0.867
0.250 0.860 0.717
0.250 0.761 0.218
0.441 0.753 0.568
0.559 0.747 0.068
0.059 0.753 0.568
0.941 0.747 0.068
0.750 0.739 0.718
0.750 0.640 0.217
0.445 0.642 0.367
0.055 0.642 0.367
0.750 0.613 0.485
0.250 0.555 0.933
0.750 0.570 0.879

=====

No. 2
Ca3W2O9 (meta-GGA SCAN, single point on PBEsol structure); VASP energy = -18.822 eV/atom; energy above the most stable polymorph in this dataset = 10 meV per atom; E_form (uncorrected) = -2790 meV per atom; space group = P2_1/m, No. 11; total moment = 0.000 μB per formula unit; N(E_F) = 0.000 states/eV per cell
1.0
7.652 0.000 0.000
0.000 8.526 -0.020
0.000 -4.239 8.305
Ca O W
6 18 4
Direct
0.750 0.633 0.769
0.000 0.000 0.000
0.500 0.000 0.000
0.750 0.860 0.228
0.250 0.140 0.772
0.250 0.367 0.231
0.750 0.872 0.999
0.443 0.705 0.788
0.057 0.705 0.788
0.250 0.461 0.501
0.750 0.373 0.775
0.250 0.409 0.786
0.443 0.915 0.211
0.057 0.915 0.211
0.750 0.030 0.499
0.250 0.970 0.501
0.943 0.085 0.789
0.557 0.085 0.789
0.750 0.591 0.214
0.250 0.627 0.225
0.750 0.539 0.499
0.943 0.295 0.212
0.557 0.295 0.212
0.250 0.128 0.001
0.250 0.571 0.715
0.750 0.143 0.713
0.250 0.857 0.287
0.750 0.429 0.285

=====

No. 3
Ca3WO6 (meta-GGA SCAN, single point on PBEsol structure); VASP energy = -16.658 eV/atom; E_form (uncorrected) = -3051 meV per atom; space group = R-3, No. 148; total moment = 0.000 μB per formula unit; N(E_F) = 0.000 states/eV per cell
1.0
-6.343 1.223 0.788
-1.022 -6.423 0.213
1.033 0.236 6.420
Ca W O
6 2 12
Direct
0.436 0.747 0.933
0.933 0.436 0.747
0.253 0.067 0.564
0.747 0.933 0.436
0.067 0.564 0.253
0.564 0.253 0.067
0.000 0.000 0.000
0.500 0.500 0.500
0.283 0.069 0.938
0.062 0.717 0.931
0.578 0.452 0.783
0.931 0.062 0.717
0.452 0.783 0.578
0.217 0.422 0.548
0.783 0.578 0.452
0.548 0.217 0.422
0.069 0.938 0.283
0.422 0.548 0.217
0.938 0.283 0.069
0.717 0.931 0.062